Density functional theory data (PBE) for CePmPuPb after structural relaxation.

a = 5.526 Å, b = 5.526 Å, c = 5.526 Å
α = 60.00°, β = 60.00°, γ = 60.00°
Fractional coordinates of all 4 atoms:
Ce (0.250, 0.250, 0.250)
Pb (0.000, 0.000, 0.000)
Pm (0.500, 0.500, 0.500)
Pu (0.750, 0.750, 0.750)

Values from the calculation:
calculated formation energy: 0.14 eV/f.u.
electronic total energy: -7.145 eV/atom